# GGA+U LiCrF2, relaxed
# - distance to the lowest polymorph of the same formula (meV/atom) = 143
data_LiCrF2
_chemical_formula_sum 'Li4 Cr4 F8'
_symmetry_space_group_name_H-M 'I -4 2 d'
_symmetry_Int_Tables_number 122
_symmetry_space_group_name_Hall 'I -4 2bw'
_cell_length_a 4.966
_cell_length_b 4.966
_cell_length_c 8.833
_cell_angle_alpha 90.00
_cell_angle_beta 90.00
_cell_angle_gamma 90.00
loop_
_atom_site_label
_atom_site_type_symbol
_atom_site_fract_x
_atom_site_fract_y
_atom_site_fract_z
Li1 Li 0.000 0.000 0.000
Cr1 Cr 0.000 0.000 0.500
F1 F 0.188 0.250 0.125